1.
SrCrW2 | the Alexandria database | GGA-PBEsol | optimized geometry; relative energy among the computed polymorphs = 575 meV/atom; raw total energy = -8.47 eV per atom; spin magnetization = 0.39 μB per formula unit; space group = Fm-3m, No. 225; DOS(E_F) = 15.9 states/eV/cell; calculated formation energy = 1453 meV/atom
1.0
6.435 0.000 0.000
0.000 6.435 0.000
0.000 0.000 6.435
Sr Cr W
4 4 8
direct
0.000 0.000 0.000 Sr
0.000 0.500 0.500 Sr
0.500 0.000 0.500 Sr
0.500 0.500 0.000 Sr
0.000 0.000 0.500 Cr
0.000 0.500 0.000 Cr
0.500 0.000 0.000 Cr
0.500 0.500 0.500 Cr
0.250 0.250 0.250 W
0.250 0.250 0.750 W
0.250 0.750 0.250 W
0.250 0.750 0.750 W
0.750 0.250 0.250 W
0.750 0.250 0.750 W
0.750 0.750 0.250 W
0.750 0.750 0.750 W

***

2.
SrCrW2 | the Alexandria database | GGA-PBEsol | optimized geometry; relative energy among the computed polymorphs = 0 meV/atom; raw total energy = -9.05 eV per atom; spin magnetization = 0.00 μB per formula unit; space group = Cmm2, No. 35; DOS(E_F) = 6.5 states/eV/cell; calculated formation energy = 878 meV/atom
1.0
3.215 0.000 0.000
0.000 4.545 0.000
0.000 0.000 9.556
Sr Cr W
2 2 4
direct
0.000 0.000 0.000 Sr
0.500 0.500 0.000 Sr
0.000 0.500 0.719 Cr
0.500 0.000 0.719 Cr
0.000 0.000 0.521 W
0.000 0.500 0.295 W
0.500 0.000 0.295 W
0.500 0.500 0.521 W

***

3.
SrCrW2 | the Alexandria database | GGA-PBEsol | optimized geometry; relative energy among the computed polymorphs = 380 meV/atom; raw total energy = -8.67 eV per atom; spin magnetization = 3.01 μB per formula unit; space group = F-43m, No. 216; DOS(E_F) = 18.4 states/eV/cell; calculated formation energy = 1258 meV/atom
1.0
6.597 0.000 0.000
0.000 6.597 0.000
0.000 0.000 6.597
Sr Cr W
4 4 8
direct
0.000 0.000 0.000 Sr
0.000 0.500 0.500 Sr
0.500 0.000 0.500 Sr
0.500 0.500 0.000 Sr
0.250 0.250 0.750 Cr
0.250 0.750 0.250 Cr
0.750 0.250 0.250 Cr
0.750 0.750 0.750 Cr
0.000 0.000 0.500 W
0.000 0.500 0.000 W
0.250 0.250 0.250 W
0.250 0.750 0.750 W
0.500 0.000 0.000 W
0.500 0.500 0.500 W
0.750 0.250 0.750 W
0.750 0.750 0.250 W

***

4.
SrCr3W | the Alexandria database | GGA-PBEsol | optimized geometry; raw total energy = -8.02 eV per atom; spin magnetization = 7.96 μB per formula unit; space group = Pm-3m, No. 221; DOS(E_F) = 1.8 states/eV/cell; calculated formation energy = 1256 meV/atom
1.0
4.750 0.000 0.000
0.000 4.750 0.000
0.000 0.000 4.750
Sr Cr W
1 3 1
direct
0.000 0.000 0.000 Sr
0.000 0.500 0.500 Cr
0.500 0.000 0.500 Cr
0.500 0.500 0.000 Cr
0.500 0.500 0.500 W

***

5.
SrYCr | the Alexandria database | GGA-PBEsol | optimized geometry; raw total energy = -5.52 eV per atom; spin magnetization = 4.51 μB per formula unit; space group = P3m1, No. 156; DOS(E_F) = 4.0 states/eV/cell; calculated formation energy = 784 meV/atom
1.0
5.337 0.000 0.000
-2.669 4.622 0.000
0.000 0.000 3.506
Sr Y Cr
1 1 1
direct
0.000 0.000 0.000 Sr
0.667 0.333 0.391 Y
0.333 0.667 0.667 Cr

***

6.
SrYCr2 | the Alexandria database | GGA-PBEsol | optimized geometry; raw total energy = -6.62 eV per atom; spin magnetization = 0.14 μB per formula unit; space group = Imm2, No. 44; DOS(E_F) = 7.8 states/eV/cell; calculated formation energy = 662 meV/atom
1.0
3.581 0.000 0.000
0.000 5.159 0.000
0.000 0.000 10.279
Sr Y Cr
2 2 4
direct
0.000 0.000 0.000 Sr
0.500 0.500 0.500 Sr
0.000 0.500 0.791 Y
0.500 0.000 0.291 Y
0.000 0.000 0.592 Cr
0.000 0.500 0.226 Cr
0.500 0.000 0.726 Cr
0.500 0.500 0.092 Cr

***

7.
SrZrCr2 | the Alexandria database | GGA-PBEsol | optimized geometry; relative energy among the computed polymorphs = 0 meV/atom; raw total energy = -6.92 eV per atom; spin magnetization = 5.76 μB per formula unit; space group = Fm-3m, No. 225; DOS(E_F) = 13.7 states/eV/cell; calculated formation energy = 929 meV/atom
1.0
6.900 0.000 0.000
0.000 6.900 0.000
0.000 0.000 6.900
Sr Zr Cr
4 4 8
direct
0.000 0.000 0.000 Sr
0.000 0.500 0.500 Sr
0.500 0.000 0.500 Sr
0.500 0.500 0.000 Sr
0.000 0.000 0.500 Zr
0.000 0.500 0.000 Zr
0.500 0.000 0.000 Zr
0.500 0.500 0.500 Zr
0.250 0.250 0.250 Cr
0.250 0.250 0.750 Cr
0.250 0.750 0.250 Cr
0.250 0.750 0.750 Cr
0.750 0.250 0.250 Cr
0.750 0.250 0.750 Cr
0.750 0.750 0.250 Cr
0.750 0.750 0.750 Cr

***

8.
SrZrCr2 | the Alexandria database | GGA-PBEsol | optimized geometry; relative energy among the computed polymorphs = 72 meV/atom; raw total energy = -6.85 eV per atom; spin magnetization = 6.21 μB per formula unit; space group = R-3m, No. 166; DOS(E_F) = 12.6 states/eV/cell; calculated formation energy = 1002 meV/atom
1.0
3.244 0.000 0.000
-1.622 2.809 0.000
0.000 0.000 28.498
Sr Zr Cr
3 3 6
direct
0.000 0.000 0.000 Sr
0.333 0.667 0.667 Sr
0.667 0.333 0.333 Sr
0.000 0.000 0.500 Zr
0.333 0.667 0.167 Zr
0.667 0.333 0.833 Zr
0.000 0.000 0.240 Cr
0.000 0.000 0.760 Cr
0.333 0.667 0.427 Cr
0.333 0.667 0.907 Cr
0.667 0.333 0.093 Cr
0.667 0.333 0.573 Cr

***

9.
Sr2ZrCr | the Alexandria database | GGA-PBEsol | optimized geometry; relative energy among the computed polymorphs = 13 meV/atom; raw total energy = -4.81 eV per atom; spin magnetization = 3.78 μB per formula unit; space group = P4/mmm, No. 123; DOS(E_F) = 4.3 states/eV/cell; calculated formation energy = 945 meV/atom
1.0
5.723 0.000 0.000
0.000 5.723 0.000
0.000 0.000 3.701
Sr Zr Cr
2 1 1
direct
0.000 0.500 0.000 Sr
0.500 0.000 0.000 Sr
0.000 0.000 0.500 Zr
0.500 0.500 0.500 Cr

***

10.
Sr2ZrCr | the Alexandria database | GGA-PBEsol | optimized geometry; relative energy among the computed polymorphs = 0 meV/atom; raw total energy = -4.82 eV per atom; spin magnetization = 2.32 μB per formula unit; space group = P4/mmm, No. 123; DOS(E_F) = 6.5 states/eV/cell; calculated formation energy = 932 meV/atom
1.0
4.717 0.000 0.000
0.000 4.717 0.000
0.000 0.000 5.167
Sr Zr Cr
2 1 1
direct
0.000 0.500 0.000 Sr
0.500 0.000 0.000 Sr
0.000 0.000 0.500 Zr
0.500 0.500 0.500 Cr

***

11.
TaCr2 | the Alexandria database | GGA-PBEsol | optimized geometry; relative energy among the computed polymorphs = 0 meV/atom; raw total energy = -11.13 eV per atom; spin magnetization = 0.00 μB per formula unit; space group = Fd-3m, No. 227; DOS(E_F) = 5.2 states/eV/cell; calculated formation energy = -119 meV/atom
1.0
0.000 3.426 3.426
3.426 0.000 3.426
3.426 3.426 0.000
Ta Cr
2 4
direct
0.125 0.125 0.125 Ta
0.875 0.875 0.875 Ta
0.000 0.500 0.500 Cr
0.500 0.000 0.500 Cr
0.500 0.500 0.000 Cr
0.500 0.500 0.500 Cr

***

12.
Ta5Cr | the Alexandria database | GGA-PBEsol | optimized geometry; relative energy among the computed polymorphs = 823 meV/atom; raw total energy = -11.31 eV per atom; spin magnetization = 3.39 μB per formula unit; space group = P6/mmm, No. 191; DOS(E_F) = 6.5 states/eV/cell; calculated formation energy = 858 meV/atom
1.0
5.511 0.000 0.000
-2.756 4.773 0.000
0.000 0.000 4.470
Ta Cr
5 1
direct
0.000 0.500 0.000 Ta
0.333 0.667 0.500 Ta
0.500 0.000 0.000 Ta
0.500 0.500 0.000 Ta
0.667 0.333 0.500 Ta
0.000 0.000 0.500 Cr

***

What did the second record say?
SrCrW2 | the Alexandria database | GGA-PBEsol | optimized geometry; relative energy among the computed polymorphs = 0 meV/atom; raw total energy = -9.05 eV per atom; spin magnetization = 0.00 μB per formula unit; space group = Cmm2, No. 35; DOS(E_F) = 6.5 states/eV/cell; calculated formation energy = 878 meV/atom
1.0
3.215 0.000 0.000
0.000 4.545 0.000
0.000 0.000 9.556
Sr Cr W
2 2 4
direct
0.000 0.000 0.000 Sr
0.500 0.500 0.000 Sr
0.000 0.500 0.719 Cr
0.500 0.000 0.719 Cr
0.000 0.000 0.521 W
0.000 0.500 0.295 W
0.500 0.000 0.295 W
0.500 0.500 0.521 W

***

- spin magnetization of number 12 (Ta5Cr)?
  3.39 μB per formula unit